[1]
This record from the Alexandria database describes a relaxed structure of Tl2InCoB. The functional is PBE.

## Properties
As for the theoretical density: 7.98 Mg/m³. The calculation puts the formation enthalpy at 0 K at 1.0455 eV per atom. The magnetic moment is 0.0 μB per formula unit.

Geometry as CIF:
```
data_Tl2InCoB
_cell_length_a 5.007
_cell_length_b 4.927
_cell_length_c 5.007
_cell_angle_alpha 90.00
_cell_angle_beta 90.00
_cell_angle_gamma 90.00
_symmetry_space_group_name_H-M 'P 1'
_symmetry_Int_Tables_number 1
loop_
_symmetry_equiv_pos_as_xyz
'x,y,z'
loop_
_atom_site_label
_atom_site_type_symbol
_atom_site_fract_x
_atom_site_fract_y
_atom_site_fract_z
_atom_site_occupancy
Tl1 Tl 0.000 0.000 0.500 1
Tl2 Tl 0.500 0.000 0.000 1
B1 B 0.500 0.500 0.500 1
Co1 Co 0.000 0.000 0.000 1
In1 In 0.000 0.500 0.000 1
```

[2]
This record from the Alexandria database describes a relaxed structure of PuPaW4. The functional is PBE.

## Properties
As for the theoretical density: 16.99 Mg/m³. The calculation puts the formation enthalpy at 0 K at 0.2237 eV per atom. The magnetic moment is 5.0 μB per formula unit.

Geometry as CIF:
```
data_PuPaW4
_cell_length_a 5.510
_cell_length_b 5.510
_cell_length_c 5.510
_cell_angle_alpha 60.00
_cell_angle_beta 60.00
_cell_angle_gamma 60.00
_symmetry_space_group_name_H-M 'P 1'
_symmetry_Int_Tables_number 1
loop_
_symmetry_equiv_pos_as_xyz
'x,y,z'
loop_
_atom_site_label
_atom_site_type_symbol
_atom_site_fract_x
_atom_site_fract_y
_atom_site_fract_z
_atom_site_occupancy
Pa1 Pa 0.250 0.250 0.250 1
W1 W 0.625 0.625 0.125 1
W2 W 0.625 0.125 0.625 1
W3 W 0.625 0.625 0.625 1
W4 W 0.125 0.625 0.625 1
Pu1 Pu 0.000 0.000 0.000 1
```

[3]
This record from the Alexandria database describes a relaxed structure of LaSmEuDy. The functional is PBE.

## Properties
As for the theoretical density: 7.03 Mg/m³. The calculation puts the formation enthalpy at 0 K at 0.1342 eV per atom. The magnetic moment is 7.9 μB per formula unit.

Geometry as CIF:
```
data_LaSmEuDy
_cell_length_a 5.865
_cell_length_b 5.865
_cell_length_c 5.865
_cell_angle_alpha 60.00
_cell_angle_beta 60.00
_cell_angle_gamma 60.00
_symmetry_space_group_name_H-M 'P 1'
_symmetry_Int_Tables_number 1
loop_
_symmetry_equiv_pos_as_xyz
'x,y,z'
loop_
_atom_site_label
_atom_site_type_symbol
_atom_site_fract_x
_atom_site_fract_y
_atom_site_fract_z
_atom_site_occupancy
Eu1 Eu 0.000 0.000 0.000 1
La1 La 0.250 0.250 0.250 1
Sm1 Sm 0.750 0.750 0.750 1
Dy1 Dy 0.500 0.500 0.500 1
```

[4]
This record from the Alexandria database describes a relaxed structure of NiMo2Se. The functional is PBE.

## Properties
As for the theoretical density: 9.52 Mg/m³. Its uncorrected formation energy is 0.15 eV per atom. The magnetic moment is 0.0 μB per formula unit.

Geometry as CIF:
```
data_NiMo2Se
_cell_length_a 4.456
_cell_length_b 4.456
_cell_length_c 2.895
_cell_angle_alpha 90.00
_cell_angle_beta 90.00
_cell_angle_gamma 90.00
_symmetry_space_group_name_H-M 'P 1'
_symmetry_Int_Tables_number 1
loop_
_symmetry_equiv_pos_as_xyz
'x,y,z'
loop_
_atom_site_label
_atom_site_type_symbol
_atom_site_fract_x
_atom_site_fract_y
_atom_site_fract_z
_atom_site_occupancy
Mo1 Mo 0.000 0.000 0.000 1
Mo2 Mo 0.500 0.500 0.000 1
Ni1 Ni 0.500 0.000 0.500 1
Se1 Se 0.000 0.500 0.500 1
```

[5]
This record from the Alexandria database describes a relaxed structure of YAsPb2. The functional is PBE.

## Properties
As for the theoretical density: 8.81 Mg/m³. The calculation puts the formation enthalpy at 0 K at -0.2042 eV per atom. The magnetic moment is 0.0 μB per formula unit.

Geometry as CIF:
```
data_YAsPb2
_cell_length_a 4.232
_cell_length_b 4.232
_cell_length_c 6.087
_cell_angle_alpha 90.00
_cell_angle_beta 90.00
_cell_angle_gamma 90.00
_symmetry_space_group_name_H-M 'P 1'
_symmetry_Int_Tables_number 1
loop_
_symmetry_equiv_pos_as_xyz
'x,y,z'
loop_
_atom_site_label
_atom_site_type_symbol
_atom_site_fract_x
_atom_site_fract_y
_atom_site_fract_z
_atom_site_occupancy
Pb1 Pb 0.000 0.000 0.998 1
Pb2 Pb 0.000 0.000 0.502 1
Y1 Y 0.500 0.500 0.250 1
As1 As 0.500 0.500 0.750 1
```

[6]
This record from the Alexandria database describes a relaxed structure of CoNi6W. The functional is PBE.

## Properties
As for the theoretical density: 10.83 Mg/m³. The calculation puts the formation enthalpy at 0 K at -0.0170 eV per atom. The magnetic moment is 1.3 μB per formula unit.

Geometry as CIF:
```
data_CoNi6W
_cell_length_a 4.391
_cell_length_b 4.391
_cell_length_c 5.624
_cell_angle_alpha 105.06
_cell_angle_beta 105.06
_cell_angle_gamma 109.53
_symmetry_space_group_name_H-M 'P 1'
_symmetry_Int_Tables_number 1
loop_
_symmetry_equiv_pos_as_xyz
'x,y,z'
loop_
_atom_site_label
_atom_site_type_symbol
_atom_site_fract_x
_atom_site_fract_y
_atom_site_fract_z
_atom_site_occupancy
Co1 Co 0.000 0.000 0.000 1
Ni1 Ni 0.626 0.126 0.252 1
Ni2 Ni 0.874 0.374 0.748 1
Ni3 Ni 0.248 0.248 0.495 1
Ni4 Ni 0.126 0.626 0.252 1
Ni5 Ni 0.374 0.874 0.748 1
Ni6 Ni 0.752 0.752 0.505 1
W1 W 0.500 0.500 0.000 1
```

[7]
This record from the Alexandria database describes a relaxed structure of BaAlGaI2. The functional is PBE.

## Properties
Its energy above the most stable polymorph in this dataset is 1.97 eV/f.u. As for the theoretical density: 3.65 Mg/m³. Its uncorrected formation energy is 0.01 eV per atom. The magnetic moment is 1.2 μB per formula unit.

Geometry as CIF:
```
data_BaAlGaI2
_cell_length_a 5.966
_cell_length_b 6.243
_cell_length_c 5.966
_cell_angle_alpha 90.00
_cell_angle_beta 90.00
_cell_angle_gamma 90.00
_symmetry_space_group_name_H-M 'P 1'
_symmetry_Int_Tables_number 1
loop_
_symmetry_equiv_pos_as_xyz
'x,y,z'
loop_
_atom_site_label
_atom_site_type_symbol
_atom_site_fract_x
_atom_site_fract_y
_atom_site_fract_z
_atom_site_occupancy
I1 I 0.000 0.000 0.500 1
I2 I 0.500 0.000 0.000 1
Ba1 Ba 0.000 0.500 0.000 1
Ga1 Ga 0.000 0.000 0.000 1
Al1 Al 0.500 0.500 0.500 1
```

[8]
This record from the Alexandria database describes a relaxed structure of MgSc2As. The functional is PBE.

## Properties
As for the theoretical density: 3.85 Mg/m³. The calculation puts the formation enthalpy at 0 K at -0.3518 eV per atom. The magnetic moment is 0.0 μB per formula unit.

Geometry as CIF:
```
data_MgSc2As
_cell_length_a 4.867
_cell_length_b 4.867
_cell_length_c 4.867
_cell_angle_alpha 60.00
_cell_angle_beta 60.00
_cell_angle_gamma 60.00
_symmetry_space_group_name_H-M 'P 1'
_symmetry_Int_Tables_number 1
loop_
_symmetry_equiv_pos_as_xyz
'x,y,z'
loop_
_atom_site_label
_atom_site_type_symbol
_atom_site_fract_x
_atom_site_fract_y
_atom_site_fract_z
_atom_site_occupancy
Sc1 Sc 0.250 0.250 0.250 1
Sc2 Sc 0.750 0.750 0.750 1
As1 As 0.500 0.500 0.500 1
Mg1 Mg 0.000 0.000 0.000 1
```

[9]
This record from the Alexandria database describes a relaxed structure of HoMg2Ag3. The functional is PBE.

## Properties
As for the theoretical density: 7.31 Mg/m³. The calculation puts the formation enthalpy at 0 K at -0.2536 eV per atom. The magnetic moment is 0.0 μB per formula unit.

Geometry as CIF:
```
data_HoMg2Ag3
_cell_length_a 3.409
_cell_length_b 3.409
_cell_length_c 10.500
_cell_angle_alpha 90.00
_cell_angle_beta 90.00
_cell_angle_gamma 90.00
_symmetry_space_group_name_H-M 'P 1'
_symmetry_Int_Tables_number 1
loop_
_symmetry_equiv_pos_as_xyz
'x,y,z'
loop_
_atom_site_label
_atom_site_type_symbol
_atom_site_fract_x
_atom_site_fract_y
_atom_site_fract_z
_atom_site_occupancy
Ho1 Ho 0.500 0.500 0.500 1
Mg1 Mg 0.500 0.500 0.842 1
Mg2 Mg 0.500 0.500 0.158 1
Ag1 Ag 0.000 0.000 0.000 1
Ag2 Ag 0.000 0.000 0.689 1
Ag3 Ag 0.000 0.000 0.311 1
```

[10]
This record from the Alexandria database describes a relaxed structure of CuSiBW2. The functional is PBE.

## Properties
As for the theoretical density: 11.64 Mg/m³. Its uncorrected formation energy is 0.56 eV per atom. The magnetic moment is 0.0 μB per formula unit.

Geometry as CIF:
```
data_CuSiBW2
_cell_length_a 4.248
_cell_length_b 3.715
_cell_length_c 4.248
_cell_angle_alpha 90.00
_cell_angle_beta 90.00
_cell_angle_gamma 90.00
_symmetry_space_group_name_H-M 'P 1'
_symmetry_Int_Tables_number 1
loop_
_symmetry_equiv_pos_as_xyz
'x,y,z'
loop_
_atom_site_label
_atom_site_type_symbol
_atom_site_fract_x
_atom_site_fract_y
_atom_site_fract_z
_atom_site_occupancy
Si1 Si 0.000 0.500 0.000 1
B1 B 0.000 0.000 0.000 1
Cu1 Cu 0.500 0.500 0.500 1
W1 W 0.000 0.000 0.500 1
W2 W 0.500 0.000 0.000 1
```

[11]
This record from the Alexandria database describes a relaxed structure of ZrSc3Pd4. The functional is PBE.

## Properties
As for the theoretical density: 7.35 Mg/m³. The calculation puts the formation enthalpy at 0 K at -0.8146 eV per atom. The magnetic moment is 0.0 μB per formula unit.

Geometry as CIF:
```
data_ZrSc3Pd4
_cell_length_a 4.706
_cell_length_b 4.706
_cell_length_c 8.146
_cell_angle_alpha 73.21
_cell_angle_beta 73.21
_cell_angle_gamma 60.00
_symmetry_space_group_name_H-M 'P 1'
_symmetry_Int_Tables_number 1
loop_
_symmetry_equiv_pos_as_xyz
'x,y,z'
loop_
_atom_site_label
_atom_site_type_symbol
_atom_site_fract_x
_atom_site_fract_y
_atom_site_fract_z
_atom_site_occupancy
Sc1 Sc 0.248 0.248 0.255 1
Sc2 Sc 0.752 0.752 0.745 1
Sc3 Sc 0.500 0.500 0.500 1
Pd1 Pd 0.876 0.876 0.371 1
Pd2 Pd 0.373 0.373 0.880 1
Pd3 Pd 0.124 0.124 0.629 1
Pd4 Pd 0.627 0.627 0.120 1
Zr1 Zr 0.000 0.000 0.000 1
```

[12]
This record from the Alexandria database describes a relaxed structure of Y3Ho2Mg3. The functional is PBE.

## Properties
As for the theoretical density: 4.88 Mg/m³. The calculation puts the formation enthalpy at 0 K at -0.0780 eV per atom. The magnetic moment is 0.0 μB per formula unit.

Geometry as CIF:
```
data_Y3Ho2Mg3
_cell_length_a 3.748
_cell_length_b 5.424
_cell_length_c 11.677
_cell_angle_alpha 103.43
_cell_angle_beta 99.24
_cell_angle_gamma 90.00
_symmetry_space_group_name_H-M 'P 1'
_symmetry_Int_Tables_number 1
loop_
_symmetry_equiv_pos_as_xyz
'x,y,z'
loop_
_atom_site_label
_atom_site_type_symbol
_atom_site_fract_x
_atom_site_fract_y
_atom_site_fract_z
_atom_site_occupancy
Y1 Y 0.375 0.375 0.749 1
Y2 Y 0.625 0.625 0.251 1
Y3 Y 0.500 0.000 0.000 1
Ho1 Ho 0.265 0.765 0.530 1
Ho2 Ho 0.735 0.235 0.470 1
Mg1 Mg 0.883 0.883 0.767 1
Mg2 Mg 0.000 0.500 0.000 1
Mg3 Mg 0.117 0.117 0.233 1
```

[13]
This record from the Alexandria database describes a relaxed structure of Th2BiSe. The functional is PBE.

## Properties
Its energy above the most stable polymorph in this dataset is 0.00 eV/f.u. As for the theoretical density: 10.34 Mg/m³. Its uncorrected formation energy is -1.05 eV per atom. The magnetic moment is 0.0 μB per formula unit.

Geometry as CIF:
```
data_Th2BiSe
_cell_length_a 4.417
_cell_length_b 4.417
_cell_length_c 7.587
_cell_angle_alpha 73.08
_cell_angle_beta 73.08
_cell_angle_gamma 60.00
_symmetry_space_group_name_H-M 'P 1'
_symmetry_Int_Tables_number 1
loop_
_symmetry_equiv_pos_as_xyz
'x,y,z'
loop_
_atom_site_label
_atom_site_type_symbol
_atom_site_fract_x
_atom_site_fract_y
_atom_site_fract_z
_atom_site_occupancy
Se1 Se 0.000 0.000 0.000 1
Bi1 Bi 0.500 0.500 0.500 1
Th1 Th 0.738 0.738 0.785 1
Th2 Th 0.262 0.262 0.215 1
```